Record 1
Below is an optimized crystal structure of TbZnCuRh, with properties calculated at the PBE-GGA level.

The structure belongs to space group F-43m (No. 216); the cell edges are 6.516, 6.516 and 6.516 Å and the angles 90.00°, 90.00° and 90.00°. Symmetry generates all atoms from Tb at (0.000, 0.000, 0.000), Zn at (0.000, 0.000, 0.500), Cu at (0.250, 0.250, 0.750) and Rh at (0.250, 0.250, 0.250).

As for the volume: 276.7 Å³ per cell. The calculation puts the energy relative to the elements at -375 meV/atom. The final energy comes out at -4.713 eV per atom. Its density of states at the Fermi level is 2.4 states/eV/f.u.

---

Record 2
Below is an optimized crystal structure of KSi, with properties calculated at the PBE-GGA level.

The structure belongs to space group Fddd (No. 70, origin choice 2); the cell edges are 6.188, 10.550 and 16.202 Å and the angles 90.00°, 90.00° and 90.00°. Symmetry generates all atoms from K at (0.125, 0.295, 0.125) and Si at (0.125, 0.125, 0.557).

The raw formation energy comes out at 42 kJ/mol of formula units. As for the volume: 1057.6 Å³ per cell. The final energy comes out at -3.044 eV per atom. The value obtained for the offset from the most stable computed form is 0.58 eV per formula unit.